SrBe | PBE | relaxed

a = 4.0095 Å, b = 5.4132 Å, c = 9.4257 Å
α = 90.00°, β = 90.00°, γ = 90.00°
Space group Imma (No. 74)
Symmetry-distinct sites (fractional):
Sr 0.0000 0.2500 0.0928
Be 0.0000 0.2500 0.7121

Computed properties:
The formation energy comes out at 42.30 kJ per mole of atoms. The calculation puts the excess energy over the best structure of this formula in the dataset at 139.2 meV per atom. The total energy comes out at -2.27 eV per atom.

=====

SrBe | PBE | relaxed

a = 8.6232 Å, b = 8.6232 Å, c = 8.6232 Å
α = 90.00°, β = 90.00°, γ = 90.00°
Space group Pm-3n (No. 223)
Symmetry-distinct sites (fractional):
Sr 0.0000 0.2500 0.5000
Be 0.0000 0.5000 0.2500

Computed properties:
The formation energy comes out at 125.63 kJ per mole of atoms. The calculation puts the excess energy over the best structure of this formula in the dataset at 1002.9 meV per atom. The total energy comes out at -1.40 eV per atom.

=====

Sr2Be | PBE | relaxed

a = 14.4380 Å, b = 4.1955 Å, c = 9.5198 Å
α = 90.00°, β = 129.07°, γ = 90.00°
Space group C2/m (No. 12)
Symmetry-distinct sites (fractional):
Sr 0.0789 0.0000 0.3742
Sr 0.1862 0.5000 0.0963
Be 0.0889 0.5000 0.6371

Computed properties:
The formation energy comes out at 29.63 kJ per mole of atoms. The calculation puts the excess energy over the best structure of this formula in the dataset at 0.0 meV per atom. The total energy comes out at -2.06 eV per atom.

=====

SrBe2 | PBE | relaxed

a = 4.0553 Å, b = 4.0553 Å, c = 4.4449 Å
α = 90.00°, β = 90.00°, γ = 120.00°
Space group P6/mmm (No. 191)
Symmetry-distinct sites (fractional):
Sr 0.0000 0.0000 0.0000
Be 0.3333 0.6667 0.5000

Computed properties:
The formation energy comes out at 45.70 kJ per mole of atoms. The calculation puts the excess energy over the best structure of this formula in the dataset at 195.7 meV per atom. The total energy comes out at -2.57 eV per atom.

=====

SrBe | PBE | relaxed

a = 5.3301 Å, b = 5.3301 Å, c = 6.3804 Å
α = 90.00°, β = 90.00°, γ = 120.00°
Space group P6_3/mmc (No. 194)
Symmetry-distinct sites (fractional):
Sr 0.3333 0.6667 0.2500
Be 0.3333 0.6667 0.7500

Computed properties:
The formation energy comes out at 99.27 kJ per mole of atoms. The calculation puts the excess energy over the best structure of this formula in the dataset at 729.7 meV per atom. The total energy comes out at -1.68 eV per atom.

=====

Sr4Be3 | PBE | relaxed

a = 5.9722 Å, b = 5.9722 Å, c = 6.8060 Å
α = 90.00°, β = 90.00°, γ = 120.00°
Space group P6/mmm (No. 191)
Symmetry-distinct sites (fractional):
Sr 0.0000 0.0000 0.2268
Sr 0.3333 0.6667 0.5000
Be 0.0000 0.5000 0.0000

Computed properties:
The formation energy comes out at 70.54 kJ per mole of atoms. The total energy comes out at -1.83 eV per atom.

=====

Sr4Be | PBE | relaxed

a = 7.6414 Å, b = 7.6414 Å, c = 7.6414 Å
α = 90.00°, β = 90.00°, γ = 90.00°
Space group Im-3m (No. 229)
Symmetry-distinct sites (fractional):
Sr 0.2500 0.2500 0.2500
Be 0.0000 0.0000 0.0000

Computed properties:
The formation energy comes out at 38.23 kJ per mole of atoms. The calculation puts the excess energy over the best structure of this formula in the dataset at 130.8 meV per atom. The total energy comes out at -1.69 eV per atom.

=====

SrBe2 | PBE | relaxed

a = 3.1879 Å, b = 20.7599 Å, c = 3.7533 Å
α = 90.00°, β = 90.00°, γ = 90.00°
Space group Cmcm (No. 63)
Symmetry-distinct sites (fractional):
Sr 0.0000 0.1120 0.2500
Be 0.0000 0.2481 0.7500
Be 0.0000 0.4824 0.2500

Computed properties:
The formation energy comes out at 67.30 kJ per mole of atoms. The calculation puts the excess energy over the best structure of this formula in the dataset at 419.5 meV per atom. The total energy comes out at -2.35 eV per atom.

=====

SrBe | PBE | relaxed

a = 4.1881 Å, b = 4.1881 Å, c = 4.0936 Å
α = 90.00°, β = 90.00°, γ = 120.00°
Space group P-6m2 (No. 187)
Symmetry-distinct sites (fractional):
Sr 0.0000 0.0000 0.0000
Be 0.3333 0.6667 0.5000

Computed properties:
The formation energy comes out at 73.99 kJ per mole of atoms. The calculation puts the excess energy over the best structure of this formula in the dataset at 467.7 meV per atom. The total energy comes out at -1.94 eV per atom.

=====

SrBe2 | PBE | relaxed

a = 3.8596 Å, b = 18.0390 Å, c = 3.8780 Å
α = 90.00°, β = 90.00°, γ = 90.00°
Space group Cmcm (No. 63)
Symmetry-distinct sites (fractional):
Sr 0.0000 0.1094 0.2500
Be 0.0000 0.2505 0.7500
Be 0.0000 0.3007 0.2500

Computed properties:
The formation energy comes out at 27.90 kJ per mole of atoms. The calculation puts the excess energy over the best structure of this formula in the dataset at 11.2 meV per atom. The total energy comes out at -2.76 eV per atom.

=====

Sr2Be | PBE | relaxed

a = 5.4127 Å, b = 5.4127 Å, c = 3.7396 Å
α = 90.00°, β = 90.00°, γ = 90.00°
Space group P4/mmm (No. 123)
Symmetry-distinct sites (fractional):
Sr 0.0000 0.5000 0.0000
Be 0.0000 0.0000 0.5000

Computed properties:
The formation energy comes out at 42.70 kJ per mole of atoms. The calculation puts the excess energy over the best structure of this formula in the dataset at 135.5 meV per atom. The total energy comes out at -1.92 eV per atom.

=====

SrBe | PBE | relaxed

a = 10.8234 Å, b = 3.8168 Å, c = 7.9249 Å
α = 90.00°, β = 90.74°, γ = 90.00°
Space group Cm (No. 8)
Symmetry-distinct sites (fractional):
Sr 0.0000 0.0000 0.0000
Sr 0.0051 0.0000 0.5685
Sr 0.2590 0.0000 0.2836
Be 0.2265 0.5000 0.9137
Be 0.2329 0.5000 0.6538
Be 0.2665 0.0000 0.7861

Computed properties:
The formation energy comes out at 33.98 kJ per mole of atoms. The calculation puts the excess energy over the best structure of this formula in the dataset at 53.1 meV per atom. The total energy comes out at -2.35 eV per atom.

=====

SrBe | PBE | relaxed

a = 4.5063 Å, b = 4.5063 Å, c = 11.0847 Å
α = 90.00°, β = 90.00°, γ = 120.00°
Space group R-3m (No. 166, hexagonal axes)
Symmetry-distinct sites (fractional):
Sr 0.0000 0.0000 0.0000
Be 0.0000 0.0000 0.5000

Computed properties:
The formation energy comes out at 75.33 kJ per mole of atoms. The calculation puts the excess energy over the best structure of this formula in the dataset at 481.6 meV per atom. The total energy comes out at -1.92 eV per atom.